Entry from the Alexandria database: crystalline SbP2Ir at its relaxed geometry (GGA-PBE).

Computed properties:
Uncorrected formation energy, eV per atom: 0.555
Total moment, μB per formula unit: 0.00
Space-group type: P4/mmm (123)

Cell lengths 4.6884, 4.6884, 3.0204 Å; angles 90.00, 90.00, 90.00 degrees
Element x y z (fractional)
Sb 0.5000 0.5000 0.5000
P 0.5000 0.0000 0.0000
P 0.0000 0.5000 0.0000
Ir 0.0000 0.0000 0.5000